HoHPdRh2, optimized geometry, DFT GGA-PBE; DOS at the Fermi energy = 5.742 states/eV/f.u.; E_tot = -30.678 eV/cell; total magnetization = 0.0001 μB per atom
1.0
4.0955 0.0000 0.0000
0.0000 4.0955 0.0000
0.0000 0.0000 4.1010
Ho H Pd Rh
1 1 1 2
Direct
0.0000 0.0000 0.0000
0.5000 0.5000 0.5000
0.5000 0.5000 0.0000
0.0000 0.5000 0.5000
0.5000 0.0000 0.5000

Ho2ZnHPd6, optimized geometry, DFT GGA-PBE; DOS at the Fermi energy = 2.717 states/eV/f.u.; E_tot = -51.666 eV/cell; total magnetization = 0.0000 μB per atom
1.0
5.6807 0.0000 0.0000
2.8162 4.9481 0.0000
2.7839 1.6632 5.9334
Ho Zn H Pd
2 1 1 6
Direct
0.2278 0.2310 0.3215
0.7722 0.7690 0.6785
0.5000 0.5000 0.5000
0.0000 0.0000 0.0000
0.2259 0.7223 0.8155
0.2299 0.2249 0.8018
0.2685 0.7780 0.1899
0.7315 0.2220 0.8101
0.7701 0.7751 0.1982
0.7741 0.2777 0.1845

PmHo3H8, optimized geometry, DFT GGA-PBE; DOS at the Fermi energy = 2.165 states/eV/f.u.; E_tot = -53.777 eV/cell; total magnetization = 0.0000 μB per atom
1.0
5.2064 0.0000 0.0000
0.0000 5.2064 0.0000
0.0000 0.0000 5.2064
Pm Ho H
1 3 8
Direct
0.0000 0.0000 0.0000
0.0000 0.5000 0.5000
0.5000 0.0000 0.5000
0.5000 0.5000 0.0000
0.2569 0.2569 0.2569
0.2569 0.2569 0.7431
0.2569 0.7431 0.2569
0.2569 0.7431 0.7431
0.7431 0.2569 0.2569
0.7431 0.2569 0.7431
0.7431 0.7431 0.2569
0.7431 0.7431 0.7431

Pm3HoH, optimized geometry, DFT GGA-PBE; DOS at the Fermi energy = 5.298 states/eV/f.u.; E_tot = -23.022 eV/cell; total magnetization = 0.0000 μB per atom
1.0
5.1010 0.0000 0.0000
0.0000 5.1010 0.0000
0.0000 0.0000 5.1010
Pm Ho H
3 1 1
Direct
0.0000 0.0000 0.5000
0.0000 0.5000 0.0000
0.5000 0.0000 0.0000
0.5000 0.5000 0.5000
0.0000 0.0000 0.0000

Pm5Ho3H12, optimized geometry, DFT GGA-PBE; DOS at the Fermi energy = 12.157 states/eV/f.u.; E_tot = -345.913 eV/cell; total magnetization = 0.0000 μB per atom
1.0
-6.6551 6.6551 6.6551
6.6551 -6.6551 6.6551
6.6551 6.6551 -6.6551
Pm Ho H
20 12 48
Direct
0.0000 0.0000 0.0000
0.0000 0.0000 0.5000
0.0000 0.5000 0.0000
0.0000 0.5000 0.5000
0.1250 0.7500 0.8750
0.1250 0.8750 0.2500
0.2500 0.1250 0.8750
0.2500 0.6250 0.3750
0.3750 0.2500 0.6250
0.3750 0.6250 0.7500
0.5000 0.0000 0.0000
0.5000 0.0000 0.5000
0.5000 0.5000 0.0000
0.5000 0.5000 0.5000
0.6250 0.3750 0.2500
0.6250 0.7500 0.3750
0.7500 0.3750 0.6250
0.7500 0.8750 0.1250
0.8750 0.1250 0.7500
0.8750 0.2500 0.1250
0.1250 0.2500 0.3750
0.1250 0.3750 0.7500
0.2500 0.3750 0.1250
0.2500 0.8750 0.6250
0.3750 0.1250 0.2500
0.3750 0.7500 0.1250
0.6250 0.2500 0.8750
0.6250 0.8750 0.7500
0.7500 0.1250 0.3750
0.7500 0.6250 0.8750
0.8750 0.6250 0.2500
0.8750 0.7500 0.6250
0.0688 0.7282 0.6566
0.0688 0.8406 0.4122
0.0716 0.2282 0.1594
0.0716 0.3434 0.9122
0.0878 0.6594 0.4312
0.0878 0.9284 0.6566
0.1566 0.2282 0.5688
0.1566 0.4284 0.5878
0.1594 0.0716 0.2282
0.1594 0.5878 0.9312
0.2282 0.1594 0.0716
0.2282 0.5688 0.1566
0.2718 0.3434 0.9312
0.2718 0.4284 0.3406
0.3406 0.2718 0.4284
0.3406 0.5688 0.9122
0.3434 0.9122 0.0716
0.3434 0.9312 0.2718
0.4122 0.0688 0.8406
0.4122 0.8434 0.5716
0.4284 0.3406 0.2718
0.4284 0.5878 0.1566
0.4312 0.0878 0.6594
0.4312 0.8434 0.7718
0.5688 0.1566 0.2282
0.5688 0.9122 0.3406
0.5716 0.4122 0.8434
0.5716 0.6594 0.7282
0.5878 0.1566 0.4284
0.5878 0.9312 0.1594
0.6566 0.0688 0.7282
0.6566 0.0878 0.9284
0.6594 0.4312 0.0878
0.6594 0.7282 0.5716
0.7282 0.5716 0.6594
0.7282 0.6566 0.0688
0.7718 0.4312 0.8434
0.7718 0.8406 0.9284
0.8406 0.4122 0.0688
0.8406 0.9284 0.7718
0.8434 0.5716 0.4122
0.8434 0.7718 0.4312
0.9122 0.0716 0.3434
0.9122 0.3406 0.5688
0.9284 0.6566 0.0878
0.9284 0.7718 0.8406
0.9312 0.1594 0.5878
0.9312 0.2718 0.3434

Pm2HoH, optimized geometry, DFT GGA-PBE; DOS at the Fermi energy = 3.709 states/eV/f.u.; relative energy among the computed polymorphs = 245.9 meV/atom; total magnetization = 0.0000 μB per atom
1.0
3.4174 0.0000 0.0000
0.0000 3.4174 0.0000
0.0000 0.0000 8.5604
Pm Ho H
2 1 1
Direct
0.0000 0.0000 0.1916
0.0000 0.0000 0.8084
0.5000 0.5000 0.5000
0.5000 0.5000 0.0000